No. 1
# TlCoP (PBE-GGA, optimized geometry)
data_TlCoP
_cell_length_a 2.9719
_cell_length_b 2.9719
_cell_length_c 12.3935
_cell_angle_alpha 90.00
_cell_angle_beta 90.00
_cell_angle_gamma 90.00
_symmetry_space_group_name_H-M 'I 4 m m'
_symmetry_Int_Tables_number 107
_symmetry_space_group_name_Hall 'I 4 -2'
loop_
_atom_site_label
_atom_site_fract_x
_atom_site_fract_y
_atom_site_fract_z
Tl1 0.0000 0.0000 0.0000
Co1 0.0000 0.0000 0.6967
P1 0.0000 0.0000 0.2695
# Energy relative to the lowest polymorph listed for this composition   372 meV per atom

---

No. 2
# TlCo2P2 (PBE-GGA, optimized geometry)
data_TlCo2P2
_cell_length_a 3.6331
_cell_length_b 3.6331
_cell_length_c 11.6312
_cell_angle_alpha 90.00
_cell_angle_beta 90.00
_cell_angle_gamma 90.00
_symmetry_space_group_name_H-M 'I 4/m m m'
_symmetry_Int_Tables_number 139
_symmetry_space_group_name_Hall '-I 4 2'
loop_
_atom_site_label
_atom_site_fract_x
_atom_site_fract_y
_atom_site_fract_z
Tl1 0.0000 0.0000 0.0000
Co1 0.0000 0.0000 0.3575
P1 0.0000 0.5000 0.2500
# Calculated total energy   -55.35 eV for the cell shown

---

No. 3
# TlCoP2 (PBE-GGA, optimized geometry)
data_TlCoP2
_cell_length_a 3.2411
_cell_length_b 6.0486
_cell_length_c 7.7882
_cell_angle_alpha 90.00
_cell_angle_beta 90.00
_cell_angle_gamma 90.00
_symmetry_space_group_name_H-M 'I m m 2'
_symmetry_Int_Tables_number 44
loop_
_symmetry_equiv_pos_as_xyz
'x,y,z'
'-x,-y,z'
'-x,y,z'
'x,-y,z'
'x+1/2,y+1/2,z+1/2'
'-x+1/2,-y+1/2,z+1/2'
'-x+1/2,y+1/2,z+1/2'
'x+1/2,-y+1/2,z+1/2'
loop_
_atom_site_label
_atom_site_fract_x
_atom_site_fract_y
_atom_site_fract_z
Tl1 0.0000 0.0000 0.0000
Co1 0.0000 0.5000 0.2039
P1 0.0000 0.0000 0.5246
P2 0.0000 0.5000 0.8305
# Energy relative to the lowest polymorph listed for this composition   598 meV per atom

---

No. 4
# TlVCo2P (PBE-GGA, optimized geometry)
data_TlVCo2P
_cell_length_a 4.4741
_cell_length_b 4.4741
_cell_length_c 4.4470
_cell_angle_alpha 90.00
_cell_angle_beta 90.00
_cell_angle_gamma 90.00
_symmetry_space_group_name_H-M 'P 4/m m m'
_symmetry_Int_Tables_number 123
_symmetry_space_group_name_Hall '-P 4 2'
loop_
_atom_site_label
_atom_site_fract_x
_atom_site_fract_y
_atom_site_fract_z
Tl1 0.0000 0.0000 0.0000
V1 0.5000 0.5000 0.5000
Co1 0.0000 0.5000 0.5000
P1 0.5000 0.5000 0.0000
# Calculated total energy   -26.92 eV for the cell shown

---

No. 5
# TmCo2P (PBE-GGA, optimized geometry)
data_TmCo2P
_cell_length_a 3.6442
_cell_length_b 3.6442
_cell_length_c 8.7740
_cell_angle_alpha 90.00
_cell_angle_beta 90.00
_cell_angle_gamma 90.00
_symmetry_space_group_name_H-M 'P 4/n m m'
_symmetry_Int_Tables_number 129
loop_
_symmetry_equiv_pos_as_xyz
'x,y,z'
'-x,-y,-z'
'-y+1/2,x,z'
'y+1/2,-x,-z'
'-x+1/2,-y+1/2,z'
'x+1/2,y+1/2,-z'
'y,-x+1/2,z'
'-y,x+1/2,-z'
'x+1/2,-y,-z'
'-x+1/2,y,z'
'-y,-x,-z'
'y,x,z'
'-x,y+1/2,-z'
'x,-y+1/2,z'
'y+1/2,x+1/2,-z'
'-y+1/2,-x+1/2,z'
loop_
_atom_site_label
_atom_site_fract_x
_atom_site_fract_y
_atom_site_fract_z
Tm1 0.2500 0.2500 0.2170
Co1 0.2500 0.2500 0.9025
Co2 0.2500 0.7500 0.5000
P1 0.2500 0.2500 0.6507
# Calculated total energy   -53.53 eV for the cell shown

---

No. 6
# TmCo5P3 (PBE-GGA, optimized geometry)
data_TmCo5P3
_cell_length_a 3.5659
_cell_length_b 11.3240
_cell_length_c 11.2795
_cell_angle_alpha 90.00
_cell_angle_beta 90.00
_cell_angle_gamma 90.00
_symmetry_space_group_name_H-M 'C m c m'
_symmetry_Int_Tables_number 63
_symmetry_space_group_name_Hall '-C 2c 2'
loop_
_atom_site_label
_atom_site_fract_x
_atom_site_fract_y
_atom_site_fract_z
Tm1 0.0000 0.1552 0.2500
Co1 0.0000 0.0000 0.0000
Co2 0.0000 0.1998 0.5720
Co3 0.0000 0.4469 0.1432
P1 0.0000 0.1115 0.7500
P2 0.0000 0.3833 0.5417
# Energy relative to the lowest polymorph listed for this composition   95 meV per atom

---

no.,N(E_F) (states/eV per cell),calculated volume (Å³/atom)
1,3.1,18.24
2,7.0,15.35
3,7.4,19.08
4,6.6,17.80
5,6.3,14.56
6,29.1,12.65